{
  "formula": "Na2B3C",
  "functional": "PBE",
  "state": "relaxed",
  "mass_density_g_cm3": 2.4,
  "n_ef_per_ev_cell": 8.49,
  "e_above_lowest_polymorph_ev_per_fu": 0.150,
  "m_tot_mub_per_fu": 0.0,
  "delta_e_f_ev_per_atom": 0.1583,
  "vol_a3_per_atom": 10.56,
  "space_group": "No. 12",
  "cell": [[-1.160, 3.780, -8.165], [1.389, 2.572, -8.588], [-4.488, -9.331, -0.390]],
  "species": ["C", "C", "C", "C", "B", "B", "B", "B", "B", "B", "B", "B", "B", "B", "B", "B", "Na", "Na", "Na", "Na", "Na", "Na", "Na", "Na"],
  "frac_coords": [[0.374, 0.374, 0.528], [0.626, 0.626, 0.472], [0.125, 0.125, 0.237], [0.875, 0.875, 0.763], [0.875, 0.875, 0.105], [0.125, 0.125, 0.397], [0.125, 0.125, 0.895], [0.875, 0.875, 0.276], [0.125, 0.125, 0.724], [0.625, 0.625, 0.989], [0.375, 0.375, 0.373], [0.875, 0.875, 0.603], [0.625, 0.625, 0.165], [0.625, 0.625, 0.627], [0.375, 0.375, 0.835], [0.375, 0.375, 0.011], [0.000, 0.000, 0.500], [0.751, 0.751, 0.376], [0.251, 0.251, 0.126], [0.249, 0.249, 0.624], [0.749, 0.749, 0.874], [0.502, 0.502, 0.751], [0.498, 0.498, 0.249], [0.000, 0.000, 0.000]]
}

---

{
  "formula": "Na2B3C",
  "functional": "PBE",
  "state": "relaxed",
  "mass_density_g_cm3": 2.4,
  "n_ef_per_ev_cell": 4.09,
  "e_above_lowest_polymorph_ev_per_fu": 0.253,
  "m_tot_mub_per_fu": 0.0,
  "delta_e_f_ev_per_atom": 0.1755,
  "vol_a3_per_atom": 10.64,
  "space_group": "No. 5",
  "cell": [[7.243, -0.019, -2.655], [5.469, 4.748, -2.655], [0.400, 0.149, 9.084]],
  "species": ["B", "B", "B", "B", "B", "B", "B", "B", "B", "B", "B", "B", "B", "B", "B", "Na", "Na", "Na", "Na", "Na", "Na", "Na", "Na", "Na", "Na", "C", "C", "C", "C", "C"],
  "frac_coords": [[0.887, 0.213, 0.750], [0.531, 0.181, 0.251], [0.291, 0.620, 0.750], [0.192, 0.512, 0.251], [0.092, 0.814, 0.252], [0.031, 0.667, 0.750], [0.480, 0.809, 0.750], [0.660, 0.055, 0.751], [0.433, 0.069, 0.750], [0.394, 0.706, 0.250], [0.588, 0.908, 0.249], [0.286, 0.008, 0.248], [0.045, 0.440, 0.749], [0.727, 0.373, 0.250], [0.919, 0.569, 0.249], [0.901, 0.899, 0.501], [0.701, 0.699, 0.499], [0.998, 0.000, 0.997], [0.801, 0.800, 0.001], [0.201, 0.199, 0.999], [0.401, 0.399, 0.001], [0.602, 0.599, 0.000], [0.501, 0.498, 0.500], [0.300, 0.299, 0.499], [0.100, 0.102, 0.503], [0.223, 0.877, 0.750], [0.817, 0.472, 0.749], [0.981, 0.313, 0.248], [0.787, 0.119, 0.252], [0.628, 0.283, 0.751]]
}

---

{
  "formula": "Na5B6C4",
  "functional": "PBE",
  "state": "relaxed",
  "mass_density_g_cm3": 2.5,
  "n_ef_per_ev_cell": 6.89,
  "e_above_lowest_polymorph_ev_per_fu": 0.111,
  "m_tot_mub_per_fu": 0.0,
  "delta_e_f_ev_per_atom": 0.0592,
  "vol_a3_per_atom": 10.01,
  "space_group": "No. 12",
  "cell": [[-7.061, 4.656, -2.925], [-8.225, 2.075, -2.853], [1.160, -0.158, 13.077]],
  "species": ["Na", "Na", "Na", "Na", "Na", "Na", "Na", "Na", "Na", "Na", "C", "C", "C", "C", "C", "C", "C", "C", "B", "B", "B", "B", "B", "B", "B", "B", "B", "B", "B", "B"],
  "frac_coords": [[0.400, 0.400, 0.798], [0.200, 0.200, 0.402], [0.001, 0.001, 0.999], [0.000, 0.000, 0.500], [0.800, 0.800, 0.100], [0.199, 0.199, 0.900], [0.600, 0.600, 0.700], [0.800, 0.800, 0.600], [0.401, 0.401, 0.300], [0.599, 0.599, 0.201], [0.364, 0.364, 0.975], [0.168, 0.168, 0.587], [0.030, 0.030, 0.808], [0.432, 0.432, 0.613], [0.767, 0.767, 0.781], [0.236, 0.236, 0.225], [0.833, 0.833, 0.419], [0.570, 0.570, 0.392], [0.428, 0.428, 0.105], [0.967, 0.967, 0.186], [0.832, 0.832, 0.911], [0.768, 0.768, 0.289], [0.633, 0.633, 0.014], [0.172, 0.172, 0.095], [0.964, 0.964, 0.677], [0.038, 0.038, 0.329], [0.562, 0.562, 0.871], [0.234, 0.234, 0.717], [0.366, 0.366, 0.483], [0.636, 0.636, 0.523]]
}

---

{
  "formula": "Na5B9C",
  "functional": "PBE",
  "state": "relaxed",
  "mass_density_g_cm3": 2.2,
  "n_ef_per_ev_cell": 13.19,
  "e_above_lowest_polymorph_ev_per_fu": 0.581,
  "m_tot_mub_per_fu": 0.0,
  "delta_e_f_ev_per_atom": 0.2753,
  "vol_a3_per_atom": 11.10,
  "space_group": "No. 187",
  "cell": [[-0.884, -1.302, 2.537], [-1.074, -0.951, -2.619], [32.521, -28.143, -3.116]],
  "species": ["B", "B", "B", "B", "B", "B", "B", "B", "B", "B", "B", "B", "B", "B", "B", "B", "B", "B", "C", "C", "Na", "Na", "Na", "Na", "Na", "Na", "Na", "Na", "Na", "Na"],
  "frac_coords": [[0.333, 0.667, 0.551], [0.667, 0.333, 0.451], [0.667, 0.333, 0.350], [0.333, 0.667, 0.751], [0.333, 0.667, 0.949], [0.667, 0.333, 0.149], [0.333, 0.667, 0.350], [0.333, 0.667, 0.149], [0.333, 0.667, 0.249], [0.667, 0.333, 0.850], [0.333, 0.667, 0.652], [0.333, 0.667, 0.850], [0.667, 0.333, 0.048], [0.667, 0.333, 0.652], [0.333, 0.667, 0.451], [0.667, 0.333, 0.551], [0.333, 0.667, 0.048], [0.667, 0.333, 0.249], [0.667, 0.333, 0.949], [0.667, 0.333, 0.751], [0.000, 0.000, 0.702], [0.000, 0.000, 0.300], [0.000, 0.000, 0.199], [0.000, 0.000, 0.900], [0.000, 0.000, 0.998], [0.000, 0.000, 0.501], [0.000, 0.000, 0.098], [0.000, 0.000, 0.400], [0.000, 0.000, 0.800], [0.000, 0.000, 0.602]]
}

---

{
  "formula": "NaB4C2",
  "functional": "PBE",
  "state": "relaxed",
  "mass_density_g_cm3": 1.8,
  "n_ef_per_ev_cell": 2.86,
  "m_tot_mub_per_fu": 0.0,
  "delta_e_f_ev_per_atom": 0.5927,
  "vol_a3_per_atom": 12.14,
  "space_group": "No. 136",
  "cell": [[-3.195, 0.166, 3.063], [-4.220, -1.348, -4.329], [0.771, -6.041, 1.130]],
  "species": ["B", "B", "B", "B", "B", "B", "B", "B", "C", "C", "C", "C", "Na", "Na"],
  "frac_coords": [[0.000, 0.610, 0.069], [0.000, 0.390, 0.931], [0.000, 0.069, 0.610], [0.500, 0.110, 0.431], [0.500, 0.890, 0.569], [0.000, 0.931, 0.390], [0.500, 0.569, 0.890], [0.500, 0.431, 0.110], [0.500, 0.714, 0.714], [0.000, 0.214, 0.786], [0.500, 0.286, 0.286], [0.000, 0.786, 0.214], [0.000, 0.500, 0.500], [0.500, 0.000, 0.000]]
}

---

{
  "formula": "Na5B8C2",
  "functional": "PBE",
  "state": "relaxed",
  "mass_density_g_cm3": 2.3,
  "n_ef_per_ev_cell": 8.14,
  "e_above_lowest_polymorph_ev_per_fu": 0.239,
  "m_tot_mub_per_fu": 0.0,
  "delta_e_f_ev_per_atom": 0.1863,
  "vol_a3_per_atom": 10.73,
  "space_group": "No. 8",
  "cell": [[11.406, 0.152, -2.704], [11.012, 2.976, -2.704], [-0.475, -0.066, 10.088]],
  "species": ["Na", "Na", "Na", "Na", "Na", "Na", "Na", "Na", "Na", "Na", "B", "B", "B", "B", "B", "B", "B", "B", "B", "B", "B", "B", "B", "B", "B", "B", "C", "C", "C", "C"],
  "frac_coords": [[0.701, 0.701, 0.897], [0.901, 0.901, 0.300], [0.300, 0.300, 0.097], [0.400, 0.400, 0.803], [0.501, 0.501, 0.501], [0.101, 0.101, 0.697], [0.800, 0.800, 0.602], [0.199, 0.199, 0.401], [0.599, 0.599, 0.201], [0.001, 0.001, 0.001], [0.319, 0.319, 0.388], [0.681, 0.681, 0.612], [0.588, 0.588, 0.926], [0.220, 0.220, 0.691], [0.715, 0.715, 0.180], [0.176, 0.176, 0.102], [0.778, 0.778, 0.305], [0.985, 0.985, 0.720], [0.814, 0.814, 0.878], [0.017, 0.017, 0.283], [0.883, 0.883, 0.016], [0.424, 0.424, 0.097], [0.522, 0.522, 0.793], [0.921, 0.921, 0.591], [0.382, 0.382, 0.514], [0.611, 0.611, 0.471], [0.080, 0.080, 0.409], [0.283, 0.283, 0.816], [0.486, 0.486, 0.220], [0.116, 0.116, 0.984]]
}

---

{
  "formula": "Na2B3C",
  "functional": "PBE",
  "state": "relaxed",
  "mass_density_g_cm3": 2.4,
  "n_ef_per_ev_cell": 7.49,
  "e_above_lowest_polymorph_ev_per_fu": 0.216,
  "m_tot_mub_per_fu": 0.0,
  "delta_e_f_ev_per_atom": 0.1693,
  "vol_a3_per_atom": 10.55,
  "space_group": "No. 38",
  "cell": [[12.919, -0.043, 0.000], [-12.589, 2.903, 0.000], [0.000, 0.000, 8.567]],
  "species": ["Na", "Na", "Na", "Na", "Na", "Na", "Na", "Na", "Na", "Na", "B", "B", "B", "B", "B", "B", "B", "B", "B", "B", "B", "B", "B", "B", "B", "C", "C", "C", "C", "C"],
  "frac_coords": [[0.800, 0.200, 0.499], [0.800, 0.200, 0.001], [0.601, 0.399, 0.499], [0.000, 0.000, 0.004], [0.201, 0.799, 0.500], [0.399, 0.601, 0.497], [0.399, 0.601, 0.003], [0.000, 0.000, 0.496], [0.601, 0.399, 0.001], [0.201, 0.799, 0.000], [0.533, 0.467, 0.250], [0.863, 0.137, 0.250], [0.136, 0.864, 0.750], [0.531, 0.469, 0.750], [0.266, 0.734, 0.250], [0.667, 0.333, 0.750], [0.466, 0.534, 0.750], [0.926, 0.074, 0.750], [0.735, 0.265, 0.750], [0.074, 0.926, 0.250], [0.336, 0.664, 0.750], [0.461, 0.539, 0.250], [0.268, 0.732, 0.750], [0.070, 0.930, 0.750], [0.670, 0.330, 0.250], [0.866, 0.134, 0.750], [0.331, 0.669, 0.250], [0.734, 0.266, 0.250], [0.929, 0.071, 0.250], [0.137, 0.863, 0.250]]
}

---

{
  "formula": "Na2B3C",
  "functional": "PBE",
  "state": "relaxed",
  "mass_density_g_cm3": 2.4,
  "n_ef_per_ev_cell": 4.26,
  "e_above_lowest_polymorph_ev_per_fu": 0.133,
  "m_tot_mub_per_fu": 0.0,
  "delta_e_f_ev_per_atom": 0.1555,
  "vol_a3_per_atom": 10.56,
  "space_group": "No. 25",
  "cell": [[2.825, 0.000, 0.000], [0.000, 8.624, 0.000], [0.000, 0.000, 10.405]],
  "species": ["B", "B", "B", "B", "B", "B", "B", "B", "B", "B", "B", "B", "C", "C", "C", "C", "Na", "Na", "Na", "Na", "Na", "Na", "Na", "Na"],
  "frac_coords": [[0.000, 0.750, 0.661], [0.500, 0.250, 0.066], [0.000, 0.250, 0.326], [0.500, 0.750, 0.902], [0.500, 0.750, 0.077], [0.000, 0.250, 0.680], [0.000, 0.250, 0.166], [0.000, 0.750, 0.189], [0.000, 0.250, 0.843], [0.500, 0.250, 0.582], [0.500, 0.250, 0.421], [0.500, 0.750, 0.423], [0.000, 0.750, 0.823], [0.500, 0.750, 0.582], [0.000, 0.750, 0.342], [0.500, 0.250, 0.917], [0.500, 0.002, 0.252], [0.500, 0.998, 0.749], [0.500, 0.502, 0.749], [0.000, 0.499, 0.501], [0.000, 0.996, 0.998], [0.000, 0.504, 0.998], [0.000, 0.001, 0.501], [0.500, 0.498, 0.252]]
}

---

{
  "formula": "Na5B8C2",
  "functional": "PBE",
  "state": "relaxed",
  "mass_density_g_cm3": 2.3,
  "n_ef_per_ev_cell": 3.76,
  "e_above_lowest_polymorph_ev_per_fu": 0.069,
  "m_tot_mub_per_fu": 0.0,
  "delta_e_f_ev_per_atom": 0.1749,
  "vol_a3_per_atom": 10.75,
  "space_group": "No. 63",
  "cell": [[-2.986, 12.111, 4.605], [0.559, -12.846, -3.389], [4.223, -1.759, 7.366]],
  "species": ["B", "B", "B", "B", "B", "B", "B", "B", "B", "B", "B", "B", "B", "B", "B", "B", "Na", "Na", "Na", "Na", "Na", "Na", "Na", "Na", "Na", "Na", "C", "C", "C", "C"],
  "frac_coords": [[0.658, 0.342, 0.250], [0.064, 0.936, 0.750], [0.725, 0.275, 0.250], [0.670, 0.330, 0.750], [0.933, 0.067, 0.750], [0.936, 0.064, 0.250], [0.127, 0.873, 0.750], [0.342, 0.658, 0.750], [0.330, 0.670, 0.250], [0.266, 0.734, 0.250], [0.067, 0.933, 0.250], [0.873, 0.127, 0.250], [0.734, 0.266, 0.750], [0.275, 0.725, 0.750], [0.523, 0.477, 0.750], [0.477, 0.523, 0.250], [0.599, 0.401, 0.000], [0.599, 0.401, 0.500], [0.800, 0.200, 0.000], [0.200, 0.800, 0.000], [0.401, 0.599, 0.000], [0.000, 0.000, 0.500], [0.000, 0.000, 0.000], [0.800, 0.200, 0.500], [0.200, 0.800, 0.500], [0.401, 0.599, 0.500], [0.872, 0.128, 0.750], [0.464, 0.536, 0.750], [0.128, 0.872, 0.250], [0.536, 0.464, 0.250]]
}

---

{
  "formula": "Na2B3C",
  "functional": "PBE",
  "state": "relaxed",
  "mass_density_g_cm3": 2.4,
  "n_ef_per_ev_cell": 4.05,
  "e_above_lowest_polymorph_ev_per_fu": 0.251,
  "m_tot_mub_per_fu": 0.0,
  "delta_e_f_ev_per_atom": 0.1752,
  "vol_a3_per_atom": 10.64,
  "space_group": "No. 1",
  "cell": [[-0.951, 6.722, -3.656], [-5.488, 4.955, -2.178], [2.097, 1.853, 8.655]],
  "species": ["B", "B", "B", "B", "B", "B", "B", "B", "B", "B", "B", "B", "B", "B", "B", "C", "C", "C", "C", "C", "Na", "Na", "Na", "Na", "Na", "Na", "Na", "Na", "Na", "Na"],
  "frac_coords": [[0.355, 0.960, 0.250], [0.920, 0.591, 0.250], [0.967, 0.331, 0.251], [0.212, 0.892, 0.749], [0.368, 0.734, 0.250], [0.109, 0.780, 0.250], [0.270, 0.619, 0.749], [0.608, 0.288, 0.748], [0.881, 0.230, 0.750], [0.406, 0.095, 0.752], [0.708, 0.986, 0.750], [0.513, 0.187, 0.250], [0.073, 0.427, 0.751], [0.740, 0.345, 0.250], [0.515, 0.792, 0.751], [0.177, 0.523, 0.249], [0.582, 0.928, 0.250], [0.819, 0.487, 0.751], [0.013, 0.681, 0.750], [0.772, 0.118, 0.250], [0.801, 0.800, 0.002], [0.198, 0.201, 0.001], [0.599, 0.600, 0.999], [0.399, 0.402, 0.001], [0.099, 0.101, 0.501], [0.899, 0.901, 0.501], [0.700, 0.699, 0.498], [0.298, 0.301, 0.499], [0.999, 0.000, 0.998], [0.500, 0.501, 0.500]]
}

---

{
  "formula": "Na2B3C",
  "functional": "PBE",
  "state": "relaxed",
  "mass_density_g_cm3": 2.4,
  "n_ef_per_ev_cell": 8.31,
  "e_above_lowest_polymorph_ev_per_fu": 0.120,
  "m_tot_mub_per_fu": 0.0,
  "delta_e_f_ev_per_atom": 0.1533,
  "vol_a3_per_atom": 10.55,
  "space_group": "No. 8",
  "cell": [[11.335, 0.145, -2.739], [10.942, 2.963, -2.739], [-0.517, -0.072, 10.020]],
  "species": ["B", "B", "B", "B", "B", "B", "B", "B", "B", "B", "B", "B", "B", "B", "B", "Na", "Na", "Na", "Na", "Na", "Na", "Na", "Na", "Na", "Na", "C", "C", "C", "C", "C"],
  "frac_coords": [[0.786, 0.786, 0.322], [0.220, 0.220, 0.690], [0.919, 0.919, 0.590], [0.025, 0.025, 0.300], [0.811, 0.811, 0.873], [0.989, 0.989, 0.728], [0.717, 0.717, 0.184], [0.177, 0.177, 0.103], [0.419, 0.419, 0.088], [0.615, 0.615, 0.480], [0.877, 0.877, 0.005], [0.483, 0.483, 0.215], [0.682, 0.682, 0.613], [0.379, 0.379, 0.510], [0.584, 0.584, 0.916], [0.800, 0.800, 0.599], [0.299, 0.299, 0.101], [0.500, 0.500, 0.506], [0.899, 0.899, 0.301], [0.400, 0.400, 0.798], [0.100, 0.100, 0.699], [0.000, 0.000, 0.999], [0.700, 0.700, 0.899], [0.200, 0.200, 0.399], [0.601, 0.601, 0.198], [0.115, 0.115, 0.979], [0.084, 0.084, 0.419], [0.317, 0.317, 0.386], [0.520, 0.520, 0.789], [0.281, 0.281, 0.812]]
}

---

{
  "formula": "Na2B3C",
  "functional": "PBE",
  "state": "relaxed",
  "mass_density_g_cm3": 2.4,
  "n_ef_per_ev_cell": 9.41,
  "e_above_lowest_polymorph_ev_per_fu": 0.344,
  "m_tot_mub_per_fu": 0.0,
  "delta_e_f_ev_per_atom": 0.1906,
  "vol_a3_per_atom": 10.51,
  "space_group": "No. 187",
  "cell": [[-0.748, 1.375, 2.459], [-1.786, -1.991, -1.158], [19.249, -30.644, 22.992]],
  "species": ["C", "C", "C", "C", "C", "B", "B", "B", "B", "B", "B", "B", "B", "B", "B", "B", "B", "B", "B", "B", "Na", "Na", "Na", "Na", "Na", "Na", "Na", "Na", "Na", "Na"],
  "frac_coords": [[0.667, 0.333, 0.148], [0.333, 0.667, 0.850], [0.667, 0.333, 0.752], [0.667, 0.333, 0.948], [0.667, 0.333, 0.552], [0.333, 0.667, 0.248], [0.333, 0.667, 0.048], [0.333, 0.667, 0.350], [0.333, 0.667, 0.948], [0.333, 0.667, 0.652], [0.667, 0.333, 0.248], [0.667, 0.333, 0.350], [0.333, 0.667, 0.452], [0.667, 0.333, 0.652], [0.333, 0.667, 0.752], [0.333, 0.667, 0.552], [0.667, 0.333, 0.048], [0.667, 0.333, 0.452], [0.333, 0.667, 0.148], [0.667, 0.333, 0.850], [0.000, 0.000, 0.998], [0.000, 0.000, 0.801], [0.000, 0.000, 0.899], [0.000, 0.000, 0.099], [0.000, 0.000, 0.299], [0.000, 0.000, 0.502], [0.000, 0.000, 0.401], [0.000, 0.000, 0.702], [0.000, 0.000, 0.601], [0.000, 0.000, 0.198]]
}

---

What VASP energy values result from the calculations? In sequence: -5.16 -5.14 -5.51 -4.79 -6.05 -5.04 -5.15 -5.16 -5.06 -5.14 -5.16 -5.13 eV/atom.